Density functional theory data (PBE-GGA) for a geometry-optimized CuAu2Br structure.

```
4
Lattice="6.423 0.004 0.094 5.617 3.115 0.094 1.228 0.318 3.942" Properties=species:S:1:pos:R:3 pbc="T T T"
Au 1.701 0.441 3.781
Au 6.161 1.596 2.225
Br 3.317 0.859 1.032
Cu 9.951 2.578 3.097
```

## Properties
**N(E_F)**: 0.430 states/eV/atom
**Space-group type**: C2/m, No. 12
**Raw formation energy**: 222 meV/atom
**Energy above the most stable polymorph in this dataset**: 165 meV/atom